Computed, not measured: a relaxed structure of Pr4GeTeS2 at the PBE level of DFT.

Raw formation energy, eV/atom: -1.598

Cell: 7.3420 4.2702 7.5235 Å, 90.00 109.34 90.00°
Closest atoms and distances in Å follow each position.
Space group P2/m (No. 10)
One atom of each set of equivalent atoms:
1 Pr 0.2300 0.0000 0.2252 x2  3 S 2.90-3.07, 1 Ge 3.00, 2 Te 3.17
2 Pr 0.2420 0.5000 0.7606 x2  3 S 2.92-3.04, 2 Ge 3.02, 1 Te 3.14
3 Ge 0.5000 0.0000 0.0000 x1  6 Pr 3.00-3.02
4 Te 0.5000 0.5000 0.5000 x1  6 Pr 3.14-3.17
5 S 0.0000 0.0000 0.5000 x1  6 Pr 3.04-3.07
6 S 0.0000 0.5000 0.0000 x1  6 Pr 2.90-2.92

***

Computed, not measured: a relaxed structure of Pr6GeTe3S2 at the PBE level of DFT.

Raw formation energy, eV/atom: -1.588

Cell: 7.4397 12.8795 7.7788 Å, 90.00 108.55 90.00°
Closest atoms and distances in Å follow each position.
Space group C2/m (No. 12)
One atom of each set of equivalent atoms:
1 Pr 0.2355 0.0000 0.2136 x4  2 S 2.93, 1 Ge 2.95, 3 Te 3.24-3.25
2 Pr 0.2394 0.3324 0.2159 x8  2 S 2.94, 1 Ge 2.96, 3 Te 3.25
3 Ge 0.0000 0.5000 0.0000 x2  6 Pr 2.95-2.96
4 Te 0.0000 0.0000 0.5000 x2  6 Pr 3.24-3.25
5 Te 0.0000 0.3352 0.5000 x4  6 Pr 3.25
6 S 0.0000 0.1671 0.0000 x4  6 Pr 2.93-2.94

***

Computed, not measured: a relaxed structure of Pr6Ge3TeS2 at the PBE level of DFT.

Raw formation energy, eV/atom: -1.339

Cell: 18.7961 4.3078 8.6609 Å, 90.00 103.58 90.00°
Closest atoms and distances in Å follow each position.
Space group C2/m (No. 12)
One atom of each set of equivalent atoms:
1 Pr 0.0023 0.0000 0.2667 x4  3 Ge 2.96-3.05, 1 S 3.04, 2 Te 3.15
2 Pr 0.1674 0.5000 0.5836 x4  3 S 3.00-3.04, 3 Ge 3.05-3.06
3 Pr 0.1734 0.5000 0.0870 x4  3 Ge 2.96-3.07, 2 S 3.06, 1 Te 3.17
4 Ge 0.0000 0.5000 0.5000 x2  6 Pr 2.96-3.06
5 Ge 0.1645 0.0000 0.8308 x4  6 Pr 2.96-3.07
6 Te 0.0000 0.5000 0.0000 x2  6 Pr 3.15-3.17
7 S 0.1686 0.0000 0.3360 x4  6 Pr 3.00-3.06

***

Computed, not measured: a relaxed structure of Pr4GeTe2S at the PBE level of DFT.

Raw formation energy, eV/atom: -1.496

Cell: 8.7795 8.7834 12.4203 Å, 90.00 90.00 90.00°
Closest atoms and distances in Å follow each position.
Space group Imma (No. 74)
One atom of each set of equivalent atoms:
1 Pr 0.0000 0.0214 0.2390 x8  1 Ge 2.97, 2 S 2.98, 3 Te 3.24-3.25
2 Pr 0.2310 0.2500 0.0093 x8  2 Ge 2.99, 1 S 2.99, 3 Te 3.22-3.23
3 Ge 0.0000 0.0000 0.0000 x4  6 Pr 2.97-2.99
4 Te 0.0000 0.0000 0.5000 x4  6 Pr 3.23-3.25
5 Te 0.2500 0.2500 0.7500 x4  6 Pr 3.22-3.24
6 S 0.2500 0.2500 0.2500 x4  6 Pr 2.98-2.99

***

Number 1: density 6.178 g/cm3. Number 2: density 6.415 g/cm3. Number 3: density 6.115 g/cm3. Number 4: density 6.405 g/cm3.